Record 1
Density functional theory data (PBE-GGA) for a geometry-optimized Sr3NbV structure.

Fermi-level density of states	9.59	states/eV per cell
energy of formation from the pure elements	1.41	eV per atom

The structure in CIF format:
```
data_Sr3NbV
_chemical_formula_sum 'Sr3 Nb1 V1'
_cell_length_a 5.8508
_cell_length_b 5.8508
_cell_length_c 5.8508
_cell_angle_alpha 90.00
_cell_angle_beta 90.00
_cell_angle_gamma 90.00
_space_group_name_H-M_alt 'P m -3 m'
_space_group_IT_number 221
_space_group_name_Hall '-P 4 2 3'
loop_
_atom_site_label
_atom_site_type_symbol
_atom_site_fract_x
_atom_site_fract_y
_atom_site_fract_z
Sr1 Sr 0.0000 0.0000 0.5000
Nb1 Nb 0.0000 0.0000 0.0000
V1 V 0.5000 0.5000 0.5000
```

Record 2
Density functional theory data (PBE-GGA) for a geometry-optimized TbScPb structure.

Fermi-level density of states	6.16	states/eV per cell
energy of formation from the pure elements	-0.46	eV per atom

The structure in CIF format:
```
data_TbScPb
_chemical_formula_sum 'Tb2 Sc2 Pb2'
_cell_length_a 4.4582
_cell_length_b 4.4582
_cell_length_c 8.2947
_cell_angle_alpha 90.00
_cell_angle_beta 90.00
_cell_angle_gamma 90.00
_space_group_name_H-M_alt 'P 4/n m m'
_space_group_IT_number 129
loop_
_space_group_symop_operation_xyz
'x,y,z'
'-x,-y,-z'
'-y+1/2,x,z'
'y+1/2,-x,-z'
'-x+1/2,-y+1/2,z'
'x+1/2,y+1/2,-z'
'y,-x+1/2,z'
'-y,x+1/2,-z'
'x+1/2,-y,-z'
'-x+1/2,y,z'
'-y,-x,-z'
'y,x,z'
'-x,y+1/2,-z'
'x,-y+1/2,z'
'y+1/2,x+1/2,-z'
'-y+1/2,-x+1/2,z'
loop_
_atom_site_label
_atom_site_type_symbol
_atom_site_fract_x
_atom_site_fract_y
_atom_site_fract_z
Tb1 Tb 0.2500 0.2500 0.1585
Sc1 Sc 0.2500 0.7500 0.5000
Pb1 Pb 0.2500 0.2500 0.7670
```

Record 3
Density functional theory data (PBE-GGA) for a geometry-optimized CdIn2Rh structure.

Fermi-level density of states	1.57	states/eV per cell
energy of formation from the pure elements	-0.10	eV per atom

The structure in CIF format:
```
data_CdIn2Rh
_chemical_formula_sum 'Cd1 In2 Rh1'
_cell_length_a 3.5485
_cell_length_b 3.6191
_cell_length_c 6.2080
_cell_angle_alpha 90.00
_cell_angle_beta 90.00
_cell_angle_gamma 90.00
_space_group_name_H-M_alt 'P m m m'
_space_group_IT_number 47
loop_
_space_group_symop_operation_xyz
'x,y,z'
'-x,-y,-z'
'-x,-y,z'
'x,y,-z'
'x,-y,-z'
'-x,y,z'
'-x,y,-z'
'x,-y,z'
loop_
_atom_site_label
_atom_site_type_symbol
_atom_site_fract_x
_atom_site_fract_y
_atom_site_fract_z
Cd1 Cd 0.0000 0.0000 0.0000
In1 In 0.5000 0.5000 0.2709
Rh1 Rh 0.0000 0.0000 0.5000
```

Record 4
Density functional theory data (PBE-GGA) for a geometry-optimized YReHg3 structure.

Fermi-level density of states	7.44	states/eV per cell
energy of formation from the pure elements	1.62	eV per atom

The structure in CIF format:
```
data_YReHg3
_chemical_formula_sum 'Y1 Re1 Hg3'
_cell_length_a 5.7319
_cell_length_b 5.7319
_cell_length_c 5.7319
_cell_angle_alpha 90.00
_cell_angle_beta 90.00
_cell_angle_gamma 90.00
_space_group_name_H-M_alt 'P m -3 m'
_space_group_IT_number 221
_space_group_name_Hall '-P 4 2 3'
loop_
_atom_site_label
_atom_site_type_symbol
_atom_site_fract_x
_atom_site_fract_y
_atom_site_fract_z
Y1 Y 0.0000 0.0000 0.0000
Re1 Re 0.5000 0.5000 0.5000
Hg1 Hg 0.0000 0.0000 0.5000
```